A plane-wave DFT calculation with PBE was carried out for an optimized crystal structure of Ta3NbIr4.

**Calculated total energy**: -84.33 eV/cell
**E_form**: -0.4072 eV/atom

a b c (Å): 2.847 4.810 9.647
angles (deg): 90.00 90.00 90.00
Fractional positions:
Nb: 0.500 0.500 0.000
Ir: 0.000 0.000 0.500
Ir: 0.000 0.500 0.740
Ir: 0.000 0.000 0.000
Ir: 0.000 0.500 0.260
Ta: 0.500 0.000 0.245
Ta: 0.500 0.500 0.500
Ta: 0.500 0.000 0.755


A plane-wave DFT calculation with PBE was carried out for an optimized crystal structure of TaNbIr6.

**Calculated total energy**: -80.15 eV/cell
**E_form**: -0.6330 eV/atom

a b c (Å): 3.921 5.557 5.557
angles (deg): 90.00 90.00 90.00
Fractional positions:
Ta: 0.500 0.000 0.000
Nb: 0.500 0.500 0.500
Ir: 0.000 0.750 0.250
Ir: 0.000 0.250 0.750
Ir: 0.000 0.750 0.750
Ir: 0.000 0.250 0.250
Ir: 0.500 0.500 0.000
Ir: 0.500 0.000 0.500


A plane-wave DFT calculation with PBE was carried out for an optimized crystal structure of Ta2NbIr2.

**Calculated total energy**: -51.77 eV/cell
**E_form**: -0.0548 eV/atom
**Excess energy over the best structure of this formula in the dataset**: 1.69 eV per formula unit

a b c (Å): 4.177 4.177 6.220
angles (deg): 70.38 70.38 90.00
Fractional positions:
Nb: 0.000 0.000 0.000
Ir: 0.387 0.387 0.225
Ir: 0.613 0.613 0.775
Ta: 0.750 0.250 0.500
Ta: 0.250 0.750 0.500


> Which of these has the lowest E_form?

TaNbIr6


> What is the formula in the second record?

TaNbIr6


> calculated total energy of number 3 (Ta2NbIr2)?

-51.77 eV/cell